# ScUIn2

A relaxed structure of ScUIn2 (GGA-PBE, the Alexandria database).

Output
density of states at the Fermi level	1.31	states/eV per atom
distance to the lowest polymorph of the same formula	0.000	eV/f.u.
energy of formation from the pure elements	-3.0	kcal/mol of atoms
volume	23.18	A^3/atom

Cell: 3.114 3.114 9.562 Å, 90.00 90.00 90.00°
Each line ends with the local moment (μB).
Fractional coordinates of all 4 atoms:
Sc: 0.500 0.500 0.000  0.36
U: 0.500 0.500 0.500  2.81
In: 0.000 0.000 0.235  -0.03
In: 0.000 0.000 0.765  -0.03

***

# Pm3Pa4Sb8

A relaxed structure of Pm3Pa4Sb8 (GGA-PBE, the Alexandria database).

Output
density of states at the Fermi level	1.27	states/eV per atom
volume	32.25	A^3/atom
raw formation energy	-62.8	kJ per mole of atoms

Cell: 8.803 8.800 8.800 Å, 90.20 119.83 119.83°
Each line ends with the local moment (μB).
Fractional coordinates of all 15 atoms:
Pm: 0.500 0.500 0.000  0.00
Pm: 0.500 0.000 0.500  0.00
Pm: 0.500 0.500 0.500  0.01
Pa: 0.000 0.000 0.500  0.75
Pa: 0.500 0.000 0.000  0.39
Pa: 0.000 0.500 0.000  0.75
Pa: 0.000 0.000 0.000  0.40
Sb: 0.500 0.752 0.248  -0.01
Sb: 0.006 0.749 0.749  -0.02
Sb: 0.000 0.252 0.748  -0.02
Sb: 0.500 0.248 0.752  -0.01
Sb: 0.503 0.756 0.756  -0.01
Sb: 0.497 0.244 0.244  -0.01
Sb: 0.000 0.748 0.252  -0.02
Sb: 0.994 0.251 0.251  -0.02